No. 1
Here is Cr2TcHPt after structural relaxation from Alexandria via LeMat-Bulk. Energies are from PBE-GGA.

symmetry = P4/mmm
V = 11.216 Å³/atom
excess energy over the best structure of this formula in the dataset = 0.396 eV/f.u.

The structure in POSCAR format:
```
Cr2TcHPt
1.0
3.870 0.000 0.000
0.000 3.870 0.000
0.000 0.000 3.745
Cr Tc H Pt
2 1 1 1
Direct
0.000 0.500 0.000 Cr
0.500 0.000 0.000 Cr
0.000 0.000 0.500 Tc
0.500 0.500 0.000 H
0.500 0.500 0.500 Pt
```

No. 2
Here is Cr2TcHPt after structural relaxation from Alexandria via LeMat-Bulk. Energies are from PBE-GGA.

symmetry = P4/mmm
V = 11.117 Å³/atom
excess energy over the best structure of this formula in the dataset = 0.000 eV/f.u.

The structure in POSCAR format:
```
Cr2TcHPt
1.0
3.834 0.000 0.000
0.000 3.834 0.000
0.000 0.000 3.781
Cr Tc H Pt
2 1 1 1
Direct
0.000 0.500 0.000 Cr
0.500 0.000 0.000 Cr
0.000 0.000 0.500 Tc
0.000 0.000 0.000 H
0.500 0.500 0.500 Pt
```

No. 3
Here is CrTc2HPt after structural relaxation from Alexandria via LeMat-Bulk. Energies are from PBE-GGA.

symmetry = P4/mmm
V = 12.927 Å³/atom
excess energy over the best structure of this formula in the dataset = 3.744 eV/f.u.

The structure in POSCAR format:
```
CrTc2HPt
1.0
4.642 0.000 0.000
0.000 4.642 0.000
0.000 0.000 3.000
Cr Tc H Pt
1 2 1 1
Direct
0.000 0.000 0.000 Cr
0.000 0.500 0.000 Tc
0.500 0.000 0.000 Tc
0.000 0.000 0.500 H
0.500 0.500 0.500 Pt
```

No. 4
Here is CrTc2HPt after structural relaxation from Alexandria via LeMat-Bulk. Energies are from PBE-GGA.

symmetry = P4/mmm
V = 11.644 Å³/atom
excess energy over the best structure of this formula in the dataset = 0.000 eV/f.u.

The structure in POSCAR format:
```
CrTc2HPt
1.0
3.883 0.000 0.000
0.000 3.883 0.000
0.000 0.000 3.862
Cr Tc H Pt
1 2 1 1
Direct
0.000 0.000 0.000 Cr
0.000 0.500 0.500 Tc
0.500 0.000 0.500 Tc
0.000 0.000 0.500 H
0.500 0.500 0.000 Pt
```

No. 5
Here is UCrH8Pt2 after structural relaxation from Alexandria via LeMat-Bulk. Energies are from PBE-GGA.

symmetry = P-3m1
V = 10.724 Å³/atom
DFT total energy = -4.9106 eV/atom

The structure in POSCAR format:
```
UCrH8Pt2
1.0
4.673 0.000 0.000
-2.337 4.047 0.000
0.000 0.000 6.804
U Cr H Pt
1 1 8 2
Direct
0.000 0.000 0.000 U
0.000 0.000 0.500 Cr
0.140 0.279 0.303 H
0.140 0.860 0.303 H
0.279 0.140 0.697 H
0.333 0.667 0.953 H
0.667 0.333 0.047 H
0.721 0.860 0.303 H
0.860 0.140 0.697 H
0.860 0.721 0.697 H
0.333 0.667 0.195 Pt
0.667 0.333 0.805 Pt
```

No. 6
Here is VCrHPt2 after structural relaxation from Alexandria via LeMat-Bulk. Energies are from PBE-GGA.

symmetry = P4/mmm
V = 11.812 Å³/atom
DFT total energy = -6.9066 eV/atom

The structure in POSCAR format:
```
VCrHPt2
1.0
3.818 0.000 0.000
0.000 3.818 0.000
0.000 0.000 4.051
V Cr H Pt
1 1 1 2
Direct
0.000 0.000 0.000 V
0.500 0.500 0.000 Cr
0.000 0.000 0.500 H
0.000 0.500 0.500 Pt
0.500 0.000 0.500 Pt
```

No. 7
Here is CrHPtW2 after structural relaxation from Alexandria via LeMat-Bulk. Energies are from PBE-GGA.

symmetry = P4/mmm
V = 12.260 Å³/atom
DFT total energy = -8.9785 eV/atom

The structure in POSCAR format:
```
CrHPtW2
1.0
3.973 0.000 0.000
0.000 3.973 0.000
0.000 0.000 3.884
Cr H Pt W
1 1 1 2
Direct
0.000 0.000 0.000 Cr
0.000 0.000 0.500 H
0.500 0.500 0.000 Pt
0.000 0.500 0.500 W
0.500 0.000 0.500 W
```

No. 8
Here is Cr2HPtW after structural relaxation from Alexandria via LeMat-Bulk. Energies are from PBE-GGA.

symmetry = P4/mmm
V = 11.433 Å³/atom
excess energy over the best structure of this formula in the dataset = 0.339 eV/f.u.

The structure in POSCAR format:
```
Cr2HPtW
1.0
3.889 0.000 0.000
0.000 3.889 0.000
0.000 0.000 3.779
Cr H Pt W
2 1 1 1
Direct
0.000 0.500 0.000 Cr
0.500 0.000 0.000 Cr
0.000 0.000 0.000 H
0.000 0.000 0.500 Pt
0.500 0.500 0.500 W
```

No. 9
Here is Cr2HPtW after structural relaxation from Alexandria via LeMat-Bulk. Energies are from PBE-GGA.

symmetry = P4/mmm
V = 11.402 Å³/atom
excess energy over the best structure of this formula in the dataset = 0.000 eV/f.u.

The structure in POSCAR format:
```
Cr2HPtW
1.0
3.835 0.000 0.000
0.000 3.835 0.000
0.000 0.000 3.876
Cr H Pt W
2 1 1 1
Direct
0.000 0.500 0.000 Cr
0.500 0.000 0.000 Cr
0.000 0.000 0.000 H
0.500 0.500 0.500 Pt
0.000 0.000 0.500 W
```

No. 10
Here is Zn2CrHPt after structural relaxation from Alexandria via LeMat-Bulk. Energies are from PBE-GGA.

symmetry = P4/mmm
V = 12.078 Å³/atom
DFT total energy = -4.4057 eV/atom

The structure in POSCAR format:
```
Zn2CrHPt
1.0
4.115 0.000 0.000
0.000 4.115 0.000
0.000 0.000 3.566
Zn Cr H Pt
2 1 1 1
Direct
0.000 0.500 0.000 Zn
0.500 0.000 0.000 Zn
0.000 0.000 0.500 Cr
0.000 0.000 0.000 H
0.500 0.500 0.500 Pt
```

No. 11
Here is PuCr2H9 after structural relaxation from Alexandria via LeMat-Bulk. Energies are from PBE-GGA.

symmetry = I4_1/amd
V = 6.159 Å³/atom
DFT total energy = -5.1820 eV/atom

The structure in POSCAR format:
```
PuCr2H9
1.0
-3.878 3.878 2.458
3.878 -3.878 2.458
3.878 3.878 -2.458
Pu Cr H
2 4 18
Direct
0.375 0.625 0.750 Pu
0.625 0.375 0.250 Pu
0.000 0.000 0.000 Cr
0.000 0.000 0.500 Cr
0.000 0.500 0.000 Cr
0.500 0.000 0.500 Cr
0.125 0.875 0.250 H
0.142 0.576 0.324 H
0.142 0.818 0.566 H
0.182 0.248 0.324 H
0.182 0.858 0.934 H
0.248 0.182 0.824 H
0.248 0.424 0.066 H
0.424 0.248 0.566 H
0.424 0.858 0.176 H
0.576 0.142 0.824 H
0.576 0.752 0.434 H
0.752 0.576 0.934 H
0.752 0.818 0.176 H
0.818 0.142 0.066 H
0.818 0.752 0.676 H
0.858 0.182 0.434 H
0.858 0.424 0.676 H
0.875 0.125 0.750 H
```

No. 12
Here is PuCrH4 after structural relaxation from Alexandria via LeMat-Bulk. Energies are from PBE-GGA.

symmetry = C2/c
V = 8.890 Å³/atom
excess energy over the best structure of this formula in the dataset = 0.000 eV/f.u.

The structure in POSCAR format:
```
PuCrH4
1.0
3.121 -4.508 0.000
3.121 4.508 0.000
-1.938 0.000 3.791
Pu Cr H
2 2 8
Direct
0.154 0.846 0.750 Pu
0.846 0.154 0.250 Pu
0.442 0.558 0.250 Cr
0.558 0.442 0.750 Cr
0.141 0.559 0.257 H
0.229 0.324 0.804 H
0.324 0.229 0.304 H
0.441 0.859 0.243 H
0.559 0.141 0.757 H
0.676 0.771 0.696 H
0.771 0.676 0.196 H
0.859 0.441 0.743 H
```

No. 13
Here is PuCr2H7 after structural relaxation from Alexandria via LeMat-Bulk. Energies are from PBE-GGA.

symmetry = Cmmm
V = 8.336 Å³/atom
DFT total energy = -5.7391 eV/atom

The structure in POSCAR format:
```
PuCr2H7
1.0
2.688 -4.556 0.000
2.688 4.556 0.000
0.000 0.000 3.403
Pu Cr H
1 2 7
Direct
0.000 0.000 0.000 Pu
0.311 0.689 0.500 Cr
0.689 0.311 0.500 Cr
0.038 0.322 0.500 H
0.269 0.731 0.000 H
0.322 0.038 0.500 H
0.500 0.500 0.500 H
0.678 0.962 0.500 H
0.731 0.269 0.000 H
0.962 0.678 0.500 H
```

No. 14
Here is PuCrH4 after structural relaxation from Alexandria via LeMat-Bulk. Energies are from PBE-GGA.

symmetry = P4/mmm
V = 9.173 Å³/atom
excess energy over the best structure of this formula in the dataset = 0.576 eV/f.u.

The structure in POSCAR format:
```
PuCrH4
1.0
3.324 0.000 0.000
0.000 3.324 0.000
0.000 0.000 4.981
Pu Cr H
1 1 4
Direct
0.000 0.000 0.000 Pu
0.500 0.500 0.500 Cr
0.000 0.500 0.500 H
0.500 0.000 0.500 H
0.500 0.500 0.161 H
0.500 0.500 0.839 H
```

No. 15
Here is Pu2CrH4 after structural relaxation from Alexandria via LeMat-Bulk. Energies are from PBE-GGA.

symmetry = I4/mmm
V = 11.138 Å³/atom
DFT total energy = -7.5391 eV/atom

The structure in POSCAR format:
```
Pu2CrH4
1.0
-1.836 1.836 5.780
1.836 -1.836 5.780
1.836 1.836 -5.780
Pu Cr H
2 1 4
Direct
0.141 0.141 0.000 Pu
0.859 0.859 0.000 Pu
0.500 0.500 0.000 Cr
0.000 0.500 0.500 H
0.346 0.346 0.000 H
0.500 0.000 0.500 H
0.654 0.654 0.000 H
```

No. 16
Here is PuCr2H8 after structural relaxation from Alexandria via LeMat-Bulk. Energies are from PBE-GGA.

symmetry = P4/mmm
V = 7.660 Å³/atom
DFT total energy = -5.4899 eV/atom

The structure in POSCAR format:
```
PuCr2H8
1.0
4.026 0.000 0.000
0.000 4.026 0.000
0.000 0.000 5.198
Pu Cr H
1 2 8
Direct
0.000 0.000 0.000 Pu
0.000 0.500 0.500 Cr
0.500 0.000 0.500 Cr
0.273 0.273 0.305 H
0.273 0.273 0.695 H
0.273 0.727 0.305 H
0.273 0.727 0.695 H
0.727 0.273 0.305 H
0.727 0.273 0.695 H
0.727 0.727 0.305 H
0.727 0.727 0.695 H
```

No. 17
Here is Rb3CrH after structural relaxation from Alexandria via LeMat-Bulk. Energies are from PBE-GGA.

symmetry = Pm-3m
V = 42.049 Å³/atom
excess energy over the best structure of this formula in the dataset = 0.000 eV/f.u.

The structure in POSCAR format:
```
Rb3CrH
1.0
5.946 0.000 0.000
0.000 5.946 0.000
0.000 0.000 5.946
Rb Cr H
3 1 1
Direct
0.000 0.000 0.500 Rb
0.000 0.500 0.000 Rb
0.500 0.000 0.000 Rb
0.500 0.500 0.500 Cr
0.000 0.000 0.000 H
```

No. 18
Here is Rb2CrH after structural relaxation from Alexandria via LeMat-Bulk. Energies are from PBE-GGA.

symmetry = Fm-3m
V = 38.607 Å³/atom
excess energy over the best structure of this formula in the dataset = 0.576 eV/f.u.

The structure in POSCAR format:
```
Rb2CrH
1.0
0.000 4.258 4.258
4.258 0.000 4.258
4.258 4.258 0.000
Rb Cr H
2 1 1
Direct
0.250 0.250 0.250 Rb
0.750 0.750 0.750 Rb
0.000 0.000 0.000 Cr
0.500 0.500 0.500 H
```

No. 19
Here is RbCr2H8 after structural relaxation from Alexandria via LeMat-Bulk. Energies are from PBE-GGA.

symmetry = Amm2
V = 9.076 Å³/atom
DFT total energy = -4.2860 eV/atom

The structure in POSCAR format:
```
RbCr2H8
1.0
5.908 0.000 0.000
0.000 3.954 2.137
0.000 -3.954 2.137
Rb Cr H
1 2 8
Direct
0.000 0.000 0.000 Rb
0.500 0.354 0.717 Cr
0.500 0.717 0.354 Cr
0.290 0.047 0.508 H
0.290 0.508 0.047 H
0.330 0.512 0.512 H
0.500 0.056 0.828 H
0.500 0.828 0.056 H
0.670 0.512 0.512 H
0.710 0.047 0.508 H
0.710 0.508 0.047 H
```

No. 20
Here is Rb3CrH7 after structural relaxation from Alexandria via LeMat-Bulk. Energies are from PBE-GGA.

symmetry = P4/mbm
V = 17.173 Å³/atom
DFT total energy = -3.2410 eV/atom

The structure in POSCAR format:
```
Rb3CrH7
1.0
8.002 0.000 0.000
0.000 8.002 0.000
0.000 0.000 5.900
Rb Cr H
6 2 14
Direct
0.000 0.000 0.000 Rb
0.189 0.311 0.500 Rb
0.311 0.811 0.500 Rb
0.500 0.500 0.000 Rb
0.689 0.189 0.500 Rb
0.811 0.689 0.500 Rb
0.000 0.500 0.000 Cr
0.500 0.000 0.000 Cr
0.000 0.000 0.500 H
0.105 0.605 0.209 H
0.105 0.605 0.791 H
0.151 0.349 0.000 H
0.349 0.849 0.000 H
0.395 0.105 0.209 H
0.395 0.105 0.791 H
0.500 0.500 0.500 H
0.605 0.895 0.209 H
0.605 0.895 0.791 H
0.651 0.151 0.000 H
0.849 0.651 0.000 H
0.895 0.395 0.209 H
0.895 0.395 0.791 H
```

For each record above, in turn, the calculated mass density values are 11.79; 11.89; 11.41; 12.67; 8.88; 13.89; 16.68; 14.06; 14.10; 10.42; 8.02; 9.34; 7.07; 9.05; 11.59; 7.02; 2.44; 2.41; 3.29; 2.77 g cm⁻³.